VASP calculation (GGA-PBE) on LaNd6 after structural relaxation.

Cell and atoms, written as POSCAR:
```
LaNd6
1.0
8.270 0.000 0.000
0.000 8.270 0.000
0.000 0.000 8.270
La Nd
2 12
Direct
0.000 0.000 0.000 La
0.500 0.500 0.500 La
0.000 0.250 0.500 Nd
0.000 0.500 0.250 Nd
0.000 0.500 0.750 Nd
0.000 0.750 0.500 Nd
0.250 0.000 0.500 Nd
0.250 0.500 0.000 Nd
0.500 0.000 0.250 Nd
0.500 0.000 0.750 Nd
0.500 0.250 0.000 Nd
0.500 0.750 0.000 Nd
0.750 0.000 0.500 Nd
0.750 0.500 0.000 Nd
```

Computed properties:
- Formation energy from the elements: 1088 meV per atom
- Magnetization: 0.00 μB per atom
- Energy above the lowest structure with this stoichiometry: 870.4 meV/atom
- Total DFT energy (no corrections): -3.702 eV/atom
- Symmetry: Im-3m, No. 229
- Crystal system: cubic